VASP calculation (PBE-GGA) on a relaxed Al2ReP crystal.

a = 8.048 Å, b = 8.048 Å, c = 8.048 Å
α = 21.50°, β = 21.50°, γ = 21.50°
Atoms (fractional coordinates):
Re 0.758 0.758 0.758
Al 0.003 0.003 0.003
Al 0.244 0.244 0.244
P 0.495 0.495 0.495

Results
**D(E_F)**: 2.85 states/eV per cell
**Space-group type**: R3m, No. 160
**Energy of formation from the pure elements**: -79 meV per atom
**Calculated volume**: 61.32 Å³ per cell
**Total magnetization**: 0.00 μB per formula unit